Sm6Y2Tm: relaxed, PBE.

Geometry as POSCAR:
```
Sm6Y2Tm
1.0
4.673 -8.776 0.000
4.673 8.776 0.000
0.000 0.000 3.660
Sm Y Tm
6 2 1
direct
0.012 0.341 0.000 Sm
0.186 0.186 0.500 Sm
0.341 0.012 0.000 Sm
0.659 0.988 0.000 Sm
0.814 0.814 0.500 Sm
0.988 0.659 0.000 Sm
0.323 0.677 0.500 Y
0.677 0.323 0.500 Y
0.500 0.500 0.000 Tm
```

Results
SG   Cmmm, No. 65
Offset from the most stable computed form   0.0000 eV/atom

---

Tb8Dy3Y: relaxed, PBE.

Geometry as POSCAR:
```
Tb8Dy3Y
1.0
-3.850 3.850 7.702
3.850 -3.850 7.702
3.850 3.850 -7.702
Tb Dy Y
8 3 1
direct
0.123 0.123 0.498 Tb
0.123 0.625 0.000 Tb
0.375 0.375 0.498 Tb
0.375 0.877 0.000 Tb
0.625 0.123 0.000 Tb
0.625 0.625 0.502 Tb
0.877 0.375 0.000 Tb
0.877 0.877 0.502 Tb
0.000 0.000 0.000 Dy
0.250 0.750 0.500 Dy
0.750 0.250 0.500 Dy
0.500 0.500 0.000 Y
```

Results
SG   I4/mmm, No. 139

---

Number 1: energy relative to the elements 0.1288 eV per atom. Number 2: energy relative to the elements 0.7333 eV per atom.